1.
6
Lattice="4.282 0.000 0.773 2.072 3.748 0.773 -0.029 -0.017 12.414" Properties=species:S:1:pos:R:3 comment="GGA-PBE NdZnI, relaxed" sg="R-3m (166)" formation_energy_uncorrected_ev_per_atom=-0.84 pbc="T T T"
Nd 2.811 1.658 8.929
Nd 3.514 2.073 5.030
Zn 1.036 0.611 6.512
Zn 5.289 3.120 7.447
I 4.561 2.690 11.486
I 1.765 1.041 2.473

=====

2.
20
Lattice="9.981 -0.155 -0.232 -2.924 9.544 -0.232 -2.924 -3.890 8.718" Properties=species:S:1:pos:R:3 comment="GGA-PBE Nd7ZnI12, relaxed" sg="R-3 (148)" formation_energy_uncorrected_ev_per_atom=-1.21 pbc="T T T"
Nd 5.012 2.873 7.386
Nd 2.767 0.845 0.229
Nd 0.042 -0.903 2.758
Nd 2.067 2.750 4.127
Nd 4.091 6.402 5.496
Nd 1.366 4.654 8.025
Nd -0.879 2.626 0.868
Zn 0.000 0.000 0.000
I 6.043 -0.155 6.426
I 5.963 1.788 0.462
I 3.136 -0.125 3.281
I 5.125 3.618 4.243
I 0.060 -1.971 5.922
I 2.051 1.632 7.106
I 2.082 3.868 1.148
I 4.073 7.470 2.332
I -0.992 1.881 4.012
I 0.997 5.624 4.973
I -1.829 3.711 7.792
I -1.910 5.654 1.828

=====

3.
10
Lattice="-1.630 -3.710 1.184 6.054 -4.403 -5.459 5.665 2.437 7.908" Properties=species:S:1:pos:R:3 comment="GGA-PBE Nd4ZnI5, relaxed" sg="C2/m (12)" formation_energy_uncorrected_ev_per_atom=-1.06 pbc="T T T"
Nd 1.105 -2.012 2.744
Nd 5.381 -2.254 7.873
Nd 8.983 -3.663 0.890
Nd 4.707 -3.421 -4.239
Zn -0.815 -1.855 0.592
I 3.679 -1.303 0.982
I 6.662 -3.425 -1.557
I 3.426 -2.251 5.191
I 2.212 -4.056 -2.137
I 6.409 -4.372 2.652

=====

4.
5
Lattice="0.571 3.925 1.899 -2.682 -0.395 -3.463 -5.709 -3.997 4.878" Properties=species:S:1:pos:R:3 comment="GGA-PBE Nd2Zn2I, relaxed" sg="R-3m (166)" formation_energy_uncorrected_ev_per_atom=-0.61 pbc="T T T"
Nd -2.201 2.075 1.465
Nd -5.620 -2.542 1.850
Zn -3.187 -0.774 2.556
Zn -4.633 0.308 0.759
I 0.000 0.000 0.000

=====

Computed values of E_tot (unit: eV per formula unit) for the preceding records, in sequence: -10.110; -77.477; -38.729; -16.700.
Computed values of total magnetic moment (unit: Bohr magnetons per cell) for the preceding records, in sequence: 0.0; 0.0; 0.0; 0.0.
Computed values of calculated density (unit: g/cm³) for the preceding records, in sequence: 5.61; 5.34; 5.66; 6.67.